First-principles (GGA-PBE) data for Rb6I4O after structural relaxation, as listed in Alexandria via LeMat-Bulk. Values from VASP.

Computed properties:
Its total energy is -32.0 eV/f.u. For the formation energy without anion corrections, the calculation gives -1.37 eV/atom. The space group is R-3c, No. 167.

Quantum ESPRESSO input file:
```
&SYSTEM
  ibrav = 0, nat = 22, ntyp = 3
/
ATOMIC_SPECIES
I 126.90 I.upf
Rb 85.47 Rb.upf
O 16.00 O.upf
CELL_PARAMETERS angstrom
-7.0721 -7.1320 0.1381
6.4341 -6.7770 -3.6844
2.7228 -2.1921 9.4171
ATOMIC_POSITIONS angstrom
I 3.3455 -12.0289 3.8988
Rb -0.5369 -7.5664 0.6800
Rb 6.2956 -7.3062 -0.9428
I -1.2607 -4.0721 1.9720
Rb 2.3040 -5.5783 2.6011
I -0.4454 -9.8706 7.0016
Rb 2.6217 -8.5346 5.1908
Rb -4.6459 -5.8005 0.5329
Rb -0.2192 -10.5228 3.2697
I 2.5302 -6.2305 -1.1308
Rb 0.7164 -13.6979 6.2808
I 1.8826 -5.1213 6.1762
I -3.5887 -8.8214 2.7973
Rb -4.2109 -8.7948 6.8136
Rb 1.3684 -2.4031 -0.4100
O 0.0000 0.0000 0.0000
Rb -0.8791 -6.8333 4.5607
O 1.0424 -8.0505 2.9354
Rb 6.7307 -10.3005 5.3379
I 5.6735 -7.2796 3.0734
Rb 2.9639 -9.2677 1.3101
I 0.2022 -10.9798 -0.3055
```

First-principles (GGA-PBE) data for Rb8I2O3 after structural relaxation, as listed in Alexandria via LeMat-Bulk. Values from VASP.

Computed properties:
Its total energy is -40.3 eV/f.u. For the formation energy without anion corrections, the calculation gives -1.12 eV/atom. The space group is C2/m, No. 12.

Quantum ESPRESSO input file:
```
&SYSTEM
  ibrav = 0, nat = 13, ntyp = 3
/
ATOMIC_SPECIES
O 16.00 O.upf
Rb 85.47 Rb.upf
I 126.90 I.upf
CELL_PARAMETERS angstrom
8.1311 0.0000 -3.2205
-0.7714 7.1150 -1.9476
-0.8499 -0.2948 9.7293
ATOMIC_POSITIONS angstrom
O -0.3857 3.5575 -0.9738
Rb 2.0041 2.6249 0.0088
I 1.4995 2.1918 3.7860
Rb 6.6765 2.6249 -1.8418
Rb 3.9462 6.9753 -1.9117
Rb 6.6511 0.5133 4.9177
O 6.0274 0.0000 -2.3873
Rb -0.1666 4.1952 6.4030
Rb 4.5058 4.1952 4.5524
O 2.1037 0.0000 -0.8332
I 5.0104 4.6283 0.7753
Rb -0.1412 6.3068 -0.3564
Rb 2.5637 -0.1551 6.4729
```

First-principles (GGA-PBE) data for Rb3IO after structural relaxation, as listed in Alexandria via LeMat-Bulk. Values from VASP.

Computed properties:
Its total energy is -15.4 eV/f.u. For the formation energy without anion corrections, the calculation gives -1.19 eV/atom. The space group is P6_3/mmc, No. 194.

Quantum ESPRESSO input file:
```
&SYSTEM
  ibrav = 0, nat = 30, ntyp = 3
/
ATOMIC_SPECIES
O 16.00 O.upf
Rb 85.47 Rb.upf
I 126.90 I.upf
CELL_PARAMETERS angstrom
8.0415 0.0000 0.0000
-4.0207 6.9641 0.0000
0.0000 0.0000 20.0311
ATOMIC_POSITIONS angstrom
O 0.0000 4.6427 16.8433
Rb 0.0000 2.3138 18.4095
I 0.0000 4.6427 1.7273
Rb 5.7888 3.3422 5.0078
O 0.0000 0.0000 10.0156
Rb 6.0377 1.1569 1.6216
Rb 2.2527 3.3422 5.0078
Rb 4.0207 4.6503 1.6216
Rb 2.0170 5.8072 11.6372
Rb 2.0038 1.1569 1.6216
Rb 1.7680 3.6220 15.0233
O 4.0207 2.3214 3.1878
I 0.0000 4.6427 8.2882
Rb 0.0000 2.3138 11.6372
Rb -2.0169 5.8072 11.6372
O 0.0000 4.6427 13.2033
I 4.0207 2.3214 11.7429
Rb 6.0377 1.1569 8.3940
Rb 2.0170 5.8072 18.4095
O 0.0000 0.0000 0.0000
I 0.0000 0.0000 15.0233
O 4.0207 2.3214 6.8278
Rb 4.0207 4.6503 8.3940
Rb 4.0207 0.2798 5.0078
I 0.0000 0.0000 5.0078
Rb -2.0169 5.8072 18.4095
Rb 0.0000 6.6843 15.0233
Rb -1.7680 3.6220 15.0233
Rb 2.0038 1.1569 8.3940
I 4.0207 2.3214 18.3038
```

First-principles (GGA-PBE) data for Rb2I7O after structural relaxation, as listed in Alexandria via LeMat-Bulk. Values from VASP.

Computed properties:
Its total energy is -21.9 eV/f.u. For the formation energy without anion corrections, the calculation gives -0.42 eV/atom. The space group is I4/mmm, No. 139.

Quantum ESPRESSO input file:
```
&SYSTEM
  ibrav = 0, nat = 10, ntyp = 3
/
ATOMIC_SPECIES
I 126.90 I.upf
Rb 85.47 Rb.upf
O 16.00 O.upf
CELL_PARAMETERS angstrom
8.5910 0.0000 0.0000
0.0000 8.5910 0.0000
4.2955 4.2955 5.4280
ATOMIC_POSITIONS angstrom
I 2.1287 6.4623 0.0000
I 6.4623 2.1287 0.0000
I 0.0000 0.0000 0.0000
I 4.2955 4.2955 2.2388
I 6.4623 6.4623 0.0000
I 2.1287 2.1287 0.0000
Rb 8.5910 4.2955 2.7140
I 8.5910 8.5910 3.1892
O 4.2955 4.2955 0.0000
Rb 4.2955 8.5910 2.7140
```

First-principles (GGA-PBE) data for Rb2IO after structural relaxation, as listed in Alexandria via LeMat-Bulk. Values from VASP.

Computed properties:
Its total energy is -11.6 eV/f.u. For the formation energy without anion corrections, the calculation gives -0.79 eV/atom. The space group is Fm-3m, No. 225.

Quantum ESPRESSO input file:
```
&SYSTEM
  ibrav = 0, nat = 4, ntyp = 3
/
ATOMIC_SPECIES
Rb 85.47 Rb.upf
I 126.90 I.upf
O 16.00 O.upf
CELL_PARAMETERS angstrom
0.0000 4.1592 4.1592
4.1592 0.0000 4.1592
4.1592 4.1592 0.0000
ATOMIC_POSITIONS angstrom
Rb 6.2388 6.2388 6.2388
Rb 2.0796 2.0796 2.0796
I 4.1592 4.1592 4.1592
O 0.0000 0.0000 0.0000
```

First-principles (GGA-PBE) data for Rb2ReI6O after structural relaxation, as listed in Alexandria via LeMat-Bulk. Values from VASP.

Computed properties:
Its total energy is -32.5 eV/f.u. For the formation energy without anion corrections, the calculation gives -0.39 eV/atom. The space group is I4/mmm, No. 139.

Quantum ESPRESSO input file:
```
&SYSTEM
  ibrav = 0, nat = 10, ntyp = 4
/
ATOMIC_SPECIES
O 16.00 O.upf
Re 186.21 Re.upf
I 126.90 I.upf
Rb 85.47 Rb.upf
CELL_PARAMETERS angstrom
8.7878 0.0000 0.0000
0.0000 8.7878 0.0000
4.3939 4.3939 4.9843
ATOMIC_POSITIONS angstrom
O 4.3939 4.3939 0.0000
Re 0.0000 0.0000 0.0000
I 4.3939 4.3939 2.1797
I 8.7878 8.7878 2.8046
I 6.8441 1.9437 0.0000
I 6.8441 6.8441 0.0000
Rb 4.3939 8.7878 2.4921
Rb 8.7878 4.3939 2.4921
I 1.9437 6.8441 0.0000
I 1.9437 1.9437 0.0000
```

First-principles (GGA-PBE) data for RbReI2O after structural relaxation, as listed in Alexandria via LeMat-Bulk. Values from VASP.

Computed properties:
Its total energy is -24.2 eV/f.u. For the formation energy without anion corrections, the calculation gives -0.55 eV/atom. The space group is P4/mmm, No. 123.

Quantum ESPRESSO input file:
```
&SYSTEM
  ibrav = 0, nat = 5, ntyp = 4
/
ATOMIC_SPECIES
I 126.90 I.upf
Rb 85.47 Rb.upf
Re 186.21 Re.upf
O 16.00 O.upf
CELL_PARAMETERS angstrom
5.8982 0.0000 0.0000
0.0000 5.8982 0.0000
0.0000 0.0000 3.8453
ATOMIC_POSITIONS angstrom
I 0.0000 2.9491 0.0000
Rb 2.9491 2.9491 1.9227
I 2.9491 0.0000 0.0000
Re 0.0000 0.0000 0.0000
O 0.0000 0.0000 1.9227
```

First-principles (GGA-PBE) data for RbReI2O after structural relaxation, as listed in Alexandria via LeMat-Bulk. Values from VASP.

Computed properties:
Its total energy is -14.3 eV/f.u. For the formation energy without anion corrections, the calculation gives 1.43 eV/atom. The space group is P4/mmm, No. 123.

Quantum ESPRESSO input file:
```
&SYSTEM
  ibrav = 0, nat = 5, ntyp = 4
/
ATOMIC_SPECIES
I 126.90 I.upf
O 16.00 O.upf
Re 186.21 Re.upf
Rb 85.47 Rb.upf
CELL_PARAMETERS angstrom
6.5453 0.0000 0.0000
0.0000 4.3965 0.0000
0.0000 0.0000 6.5453
ATOMIC_POSITIONS angstrom
I 0.0000 0.0000 3.2727
I 3.2727 0.0000 0.0000
O 0.0000 2.1982 0.0000
Re 3.2727 2.1982 3.2727
Rb 0.0000 0.0000 0.0000
```

First-principles (GGA-PBE) data for RbReIO2 after structural relaxation, as listed in Alexandria via LeMat-Bulk. Values from VASP.

Computed properties:
Its total energy is -27.6 eV/f.u. For the formation energy without anion corrections, the calculation gives -0.55 eV/atom. The space group is P4/mmm, No. 123.

Quantum ESPRESSO input file:
```
&SYSTEM
  ibrav = 0, nat = 5, ntyp = 4
/
ATOMIC_SPECIES
O 16.00 O.upf
Rb 85.47 Rb.upf
Re 186.21 Re.upf
I 126.90 I.upf
CELL_PARAMETERS angstrom
-3.2495 -2.3797 1.0640
-0.0692 -1.6210 -3.8369
3.5682 -4.1225 1.6773
ATOMIC_POSITIONS angstrom
O -1.6247 -1.1898 0.5320
Rb 0.1247 -4.0616 -0.5478
Re 0.0000 0.0000 0.0000
I 1.7841 -2.0612 0.8386
O -0.0346 -0.8105 -1.9184
```

First-principles (GGA-PBE) data for RbReIO2 after structural relaxation, as listed in Alexandria via LeMat-Bulk. Values from VASP.

Computed properties:
Its total energy is -16.9 eV/f.u. For the formation energy without anion corrections, the calculation gives 1.60 eV/atom. The space group is P4/mmm, No. 123.

Quantum ESPRESSO input file:
```
&SYSTEM
  ibrav = 0, nat = 5, ntyp = 4
/
ATOMIC_SPECIES
Re 186.21 Re.upf
Rb 85.47 Rb.upf
O 16.00 O.upf
I 126.90 I.upf
CELL_PARAMETERS angstrom
-0.5858 0.8929 -4.3345
3.6727 -2.3414 -0.9787
-3.7723 -5.6442 -0.6529
ATOMIC_POSITIONS angstrom
Re -0.3427 -3.5463 -2.9830
Rb 0.0000 0.0000 0.0000
O 1.8363 -1.1707 -0.4893
O -0.2929 0.4465 -2.1673
I -1.8861 -2.8221 -0.3265
```